{
  "formula": "CeAsO2",
  "functional": "PBE",
  "state": "relaxed",
  "lattice_angstrom": [[3.9604, 0.0000, 0.0000], [1.9802, 3.4298, 0.0000], [1.9802, 1.1433, 4.1356]],
  "species": ["As", "O", "O", "Ce"],
  "fractional_positions": [[0.5000, 0.5000, 0.5000], [0.2349, 0.2349, 0.2954], [0.7651, 0.7651, 0.7046], [0.0000, 0.0000, 0.0000]],
  "space_group": "R-3m (166)",
  "raw_formation_energy_kcal_per_mol_atoms": -35.3
}

=====

{
  "formula": "Ir5OsRh4",
  "functional": "PBE",
  "state": "relaxed",
  "lattice_angstrom": [[3.3187, 0.0000, 0.0000], [0.0000, 3.3187, 0.0000], [0.0000, 0.0000, 13.4304]],
  "species": ["Ir", "Ir", "Ir", "Ir", "Ir", "Os", "Rh", "Rh", "Rh", "Rh"],
  "fractional_positions": [[0.5000, 0.5000, 0.0990], [0.5000, 0.5000, 0.2998], [0.5000, 0.5000, 0.5000], [0.5000, 0.5000, 0.7002], [0.5000, 0.5000, 0.9010], [0.0000, 0.0000, 0.0000], [0.0000, 0.0000, 0.2004], [0.0000, 0.0000, 0.4015], [0.0000, 0.0000, 0.5985], [0.0000, 0.0000, 0.7996]],
  "space_group": "P4/mmm (123)",
  "formation_enthalpy_0k_ev_per_fu": 3.2
}

=====

{
  "formula": "ZrSc2Sb",
  "functional": "PBE",
  "state": "relaxed",
  "lattice_angstrom": [[3.7271, 0.0000, 0.0000], [0.0000, 3.7271, 0.0000], [0.0000, 0.0000, 6.6036]],
  "species": ["Sb", "Sc", "Sc", "Zr"],
  "fractional_positions": [[0.5000, 0.5000, 0.7500], [0.0000, 0.0000, 0.9871], [0.0000, 0.0000, 0.5129], [0.5000, 0.5000, 0.2500]],
  "space_group": "P4/mmm (123)",
  "raw_formation_energy_kcal_per_mol_atoms": -10.0
}

=====

{
  "formula": "CeCuSi2Ni",
  "functional": "PBE",
  "state": "relaxed",
  "lattice_angstrom": [[-0.7594, -1.5277, 5.3689], [2.3198, -4.7965, 1.8299], [1.5844, 4.5881, -2.8592]],
  "species": ["Ce", "Cu", "Si", "Si", "Ni"],
  "fractional_positions": [[0.0000, 0.0000, 0.0000], [0.2500, 0.7500, 0.5000], [0.6235, 0.6235, 0.0000], [0.3765, 0.3765, 0.0000], [0.7500, 0.2500, 0.5000]],
  "space_group": "I-4m2 (119)",
  "raw_formation_energy_kcal_per_mol_atoms": -16.0
}

=====

{
  "formula": "SrIn2Br",
  "functional": "PBE",
  "state": "relaxed",
  "lattice_angstrom": [[-5.5068, 2.6848, 4.0881], [-7.1685, 0.6727, -1.5511], [5.8199, -4.5125, -0.1048]],
  "species": ["Sr", "Br", "In", "In"],
  "fractional_positions": [[0.2500, 0.7500, 0.5000], [0.7500, 0.2500, 0.5000], [0.0000, 0.0000, 0.0000], [0.5000, 0.5000, 0.0000]],
  "space_group": "I4/mmm (139)",
  "raw_formation_energy_kcal_per_mol_atoms": -15.0,
  "polymorph_energy_mev_per_atom": 46
}

=====

{
  "formula": "La2Tb5PmTm",
  "functional": "PBE",
  "state": "relaxed",
  "lattice_angstrom": [[8.6740, 0.0000, 0.0000], [0.0000, 8.6740, 0.0000], [-4.3370, -4.3370, 7.9786]],
  "species": ["La", "La", "La", "La", "Tb", "Tb", "Tb", "Tb", "Tb", "Tb", "Tb", "Tb", "Tb", "Tb", "Pm", "Pm", "Tm", "Tm"],
  "fractional_positions": [[0.1182, 0.3818, 0.0000], [0.6182, 0.1182, 0.0000], [0.3818, 0.8818, 0.0000], [0.8818, 0.6182, 0.0000], [0.9249, 0.4249, 0.2837], [0.6413, 0.1413, 0.7163], [0.0751, 0.5751, 0.7163], [0.1413, 0.0751, 0.7163], [0.5751, 0.6413, 0.7163], [0.8587, 0.9249, 0.2837], [0.4249, 0.3587, 0.2837], [0.3587, 0.8587, 0.2837], [0.5000, 0.5000, 0.0000], [0.0000, 0.0000, 0.0000], [0.2500, 0.2500, 0.5000], [0.7500, 0.7500, 0.5000], [0.2500, 0.7500, 0.5000], [0.7500, 0.2500, 0.5000]],
  "space_group": "I4/mcm (140)",
  "formation_enthalpy_0k_ev_per_fu": 2.3
}

=====

{
  "formula": "LiCoHPd2",
  "functional": "PBE",
  "state": "relaxed",
  "lattice_angstrom": [[4.0636, 0.0000, 0.0000], [0.0000, 4.0636, 0.0000], [0.0000, 0.0000, 3.4556]],
  "species": ["H", "Co", "Pd", "Pd", "Li"],
  "fractional_positions": [[0.0000, 0.0000, 0.0000], [0.0000, 0.0000, 0.5000], [0.0000, 0.5000, 0.0000], [0.5000, 0.0000, 0.0000], [0.5000, 0.5000, 0.5000]],
  "space_group": "P4/mmm (123)",
  "polymorph_energy_mev_per_atom": 0
}

=====

{
  "formula": "Y2CdHg4",
  "functional": "PBE",
  "state": "relaxed",
  "lattice_angstrom": [[0.3799, 4.7379, -1.6470], [-3.7580, 3.2481, 0.7950], [2.3313, 4.8948, 6.9363]],
  "species": ["Y", "Y", "Cd", "Hg", "Hg", "Hg", "Hg"],
  "fractional_positions": [[0.7471, 0.7471, 0.7588], [0.2529, 0.2529, 0.2412], [0.0000, 0.0000, 0.0000], [0.8700, 0.8700, 0.3900], [0.1300, 0.1300, 0.6100], [0.6193, 0.6193, 0.1421], [0.3807, 0.3807, 0.8579]],
  "space_group": "R-3m (166)",
  "formation_enthalpy_0k_ev_per_fu": -2.1
}

=====

{
  "formula": "RePPb2",
  "functional": "PBE",
  "state": "relaxed",
  "lattice_angstrom": [[-2.8172, 4.6585, 3.3936], [-5.7549, -2.4802, -1.3729], [-3.9903, -2.3346, 5.9557]],
  "species": ["Pb", "Pb", "Pb", "Pb", "Re", "Re", "P", "P"],
  "fractional_positions": [[0.6246, 0.1250, 0.2500], [0.1254, 0.6250, 0.2500], [0.3750, 0.3754, 0.7500], [0.8750, 0.8746, 0.7500], [0.0000, 0.0000, 0.0000], [0.7500, 0.2500, 0.5000], [0.5000, 0.5000, 0.0000], [0.2500, 0.7500, 0.5000]],
  "space_group": "I-42d (122)",
  "formation_enthalpy_0k_ev_per_fu": 5.1
}

=====

{
  "formula": "SrCa2Tl2",
  "functional": "PBE",
  "state": "relaxed",
  "lattice_angstrom": [[-1.5539, 4.7342, -0.3291], [-3.0611, -1.2645, -3.7371], [-7.5368, 0.3489, 2.7193]],
  "species": ["Sr", "Tl", "Tl", "Ca", "Ca"],
  "fractional_positions": [[0.0000, 0.0000, 0.0000], [0.3978, 0.3978, 0.2044], [0.6022, 0.6022, 0.7956], [0.7500, 0.2500, 0.5000], [0.2500, 0.7500, 0.5000]],
  "space_group": "I4/mmm (139)",
  "polymorph_energy_mev_per_atom": 83,
  "formation_enthalpy_0k_ev_per_fu": -1.3
}

=====

{
  "formula": "Cs2CaNiSe",
  "functional": "PBE",
  "state": "relaxed",
  "lattice_angstrom": [[6.9319, 0.0000, 0.0000], [0.0000, 4.7244, 0.0000], [0.0000, 0.0000, 6.9319]],
  "species": ["Cs", "Cs", "Ni", "Ca", "Se"],
  "fractional_positions": [[0.0000, 0.0000, 0.5000], [0.5000, 0.0000, 0.0000], [0.0000, 0.5000, 0.0000], [0.0000, 0.0000, 0.0000], [0.5000, 0.5000, 0.5000]],
  "space_group": "P4/mmm (123)",
  "raw_formation_energy_kcal_per_mol_atoms": 8.1
}

=====

{
  "formula": "BeIrAu2",
  "functional": "PBE",
  "state": "relaxed",
  "lattice_angstrom": [[5.2584, 0.0320, -0.0266], [4.4434, 2.8122, -0.0266], [1.9575, 0.5738, 4.0319]],
  "species": ["Be", "Ir", "Au", "Au"],
  "fractional_positions": [[0.5088, 0.5088, 0.4888], [0.2030, 0.2030, 0.2980], [0.9965, 0.9965, 0.0041], [0.7917, 0.7917, 0.7092]],
  "space_group": "Cm (8)",
  "formation_enthalpy_0k_ev_per_fu": 0.2
}

=====

{
  "formula": "BaSn4Au12",
  "functional": "PBE",
  "state": "relaxed",
  "lattice_angstrom": [[-0.0166, -5.8295, 5.7935], [7.6452, 1.0191, -2.8391], [-2.6925, 7.0675, 3.2172]],
  "species": ["Ba", "Sn", "Sn", "Sn", "Sn", "Au", "Au", "Au", "Au", "Au", "Au", "Au", "Au", "Au", "Au", "Au", "Au"],
  "fractional_positions": [[0.0000, 0.0000, 0.0000], [0.0000, 0.5000, 0.0000], [0.5000, 0.0000, 0.0000], [0.5000, 0.5000, 0.5000], [0.0000, 0.0000, 0.5000], [0.8533, 0.3525, 0.2058], [0.3525, 0.4992, 0.1467], [0.7942, 0.1467, 0.6475], [0.3525, 0.2058, 0.8533], [0.2058, 0.8533, 0.3525], [0.6475, 0.5008, 0.8533], [0.4992, 0.1467, 0.3525], [0.5008, 0.8533, 0.6475], [0.6475, 0.7942, 0.1467], [0.8533, 0.6475, 0.5008], [0.1467, 0.3525, 0.4992], [0.1467, 0.6475, 0.7942]],
  "space_group": "Im-3 (204)",
  "formation_enthalpy_0k_ev_per_fu": -0.9
}

=====

{
  "formula": "LuCdSnHg",
  "functional": "PBE",
  "state": "relaxed",
  "lattice_angstrom": [[-0.3270, 5.0478, 1.0842], [-4.6226, 2.1784, 0.8059], [-1.3389, 1.5434, 4.7527]],
  "species": ["Cd", "Lu", "Hg", "Sn"],
  "fractional_positions": [[0.7500, 0.7500, 0.7500], [0.2500, 0.2500, 0.2500], [0.0000, 0.0000, 0.0000], [0.5000, 0.5000, 0.5000]],
  "space_group": "F-43m (216)",
  "formation_enthalpy_0k_ev_per_fu": -0.8
}

=====

{
  "formula": "DyTh2ZrAs4",
  "functional": "PBE",
  "state": "relaxed",
  "lattice_angstrom": [[-2.0725, -3.1320, -1.7187], [-1.9221, -2.3006, 6.5100], [-4.8671, 4.5586, -2.4381]],
  "species": ["Dy", "Th", "Th", "Zr", "As", "As", "As", "As"],
  "fractional_positions": [[0.5000, 0.5000, 0.0000], [0.5000, 0.0000, 0.5000], [0.0000, 0.5000, 0.5000], [0.0000, 0.0000, 0.0000], [0.5000, 0.2387, 0.2317], [0.5000, 0.7613, 0.7683], [0.0000, 0.2493, 0.7644], [0.0000, 0.7507, 0.2356]],
  "space_group": "P2/m (10)",
  "formation_enthalpy_0k_ev_per_fu": -10.7
}

=====

{
  "formula": "Al2InSn",
  "functional": "PBE",
  "state": "relaxed",
  "lattice_angstrom": [[-1.7221, -1.5202, 4.4763], [-4.8714, -1.1203, 0.5730], [-1.4214, -4.7814, 0.6569]],
  "species": ["Al", "Al", "Sn", "In"],
  "fractional_positions": [[0.2500, 0.2500, 0.2500], [0.7500, 0.7500, 0.7500], [0.5000, 0.5000, 0.5000], [0.0000, 0.0000, 0.0000]],
  "space_group": "Fm-3m (225)",
  "polymorph_energy_mev_per_atom": 12,
  "formation_enthalpy_0k_ev_per_fu": 0.8
}

=====

{
  "formula": "Tc2HAu",
  "functional": "PBE",
  "state": "relaxed",
  "lattice_angstrom": [[4.8197, 0.0000, 0.0000], [0.0000, 4.8197, 0.0000], [2.4098, 2.4098, 4.9252]],
  "species": ["H", "H", "Au", "Au", "Tc", "Tc", "Tc", "Tc"],
  "fractional_positions": [[0.5000, 0.5000, 0.0000], [0.2500, 0.7500, 0.5000], [0.0000, 0.0000, 0.0000], [0.7500, 0.2500, 0.5000], [0.3850, 0.1250, 0.2500], [0.3650, 0.6250, 0.2500], [0.3750, 0.6150, 0.7500], [0.8750, 0.6350, 0.7500]],
  "space_group": "I-42d (122)",
  "polymorph_energy_mev_per_atom": 0
}

=====

{
  "formula": "Sm3CdAu2",
  "functional": "PBE",
  "state": "relaxed",
  "lattice_angstrom": [[-2.8715, -1.3839, -1.9154], [2.3564, -1.4500, -2.4849], [0.5330, -9.3883, 5.9839]],
  "species": ["Sm", "Sm", "Sm", "Cd", "Au", "Au"],
  "fractional_positions": [[0.0000, 0.0000, 0.0000], [0.0000, 0.0000, 0.6769], [0.0000, 0.0000, 0.3231], [0.5000, 0.5000, 0.5000], [0.5000, 0.5000, 0.8330], [0.5000, 0.5000, 0.1670]],
  "space_group": "P4/mmm (123)",
  "formation_enthalpy_0k_ev_per_fu": -3.8
}

=====

{
  "formula": "HfZr5Cd4",
  "functional": "PBE",
  "state": "relaxed",
  "lattice_angstrom": [[3.1773, 0.0000, 0.0000], [0.0000, 3.1773, 0.0000], [0.0000, 0.0000, 21.8220]],
  "species": ["Hf", "Zr", "Zr", "Zr", "Zr", "Zr", "Cd", "Cd", "Cd", "Cd"],
  "fractional_positions": [[0.0000, 0.0000, 0.0000], [0.5000, 0.5000, 0.1004], [0.5000, 0.5000, 0.3020], [0.5000, 0.5000, 0.5000], [0.5000, 0.5000, 0.6980], [0.5000, 0.5000, 0.8996], [0.0000, 0.0000, 0.2036], [0.0000, 0.0000, 0.4010], [0.0000, 0.0000, 0.5990], [0.0000, 0.0000, 0.7964]],
  "space_group": "P4/mmm (123)",
  "formation_enthalpy_0k_ev_per_fu": -1.0
}

=====

{
  "formula": "Nb4O9",
  "functional": "PBE",
  "state": "relaxed",
  "lattice_angstrom": [[5.0989, -0.0605, 0.0441], [-0.1799, 5.6474, -0.0459], [-2.2794, -1.9021, 6.3108]],
  "species": ["Nb", "Nb", "Nb", "Nb", "O", "O", "O", "O", "O", "O", "O", "O", "O"],
  "fractional_positions": [[0.3766, 0.2636, 0.2822], [0.1567, 0.1885, 0.7316], [0.5818, 0.7106, 0.7046], [0.8954, 0.7618, 0.2697], [0.1345, 0.1297, 0.4108], [0.2468, 0.6491, 0.4014], [0.8728, 0.8838, 0.5985], [0.8590, 0.7197, 0.9736], [0.1180, 0.2558, 0.0030], [0.3056, 0.5297, 0.7626], [0.5816, 0.0019, 0.2506], [0.6622, 0.4862, 0.2379], [0.4831, 0.0478, 0.7841]],
  "space_group": "P1 (1)",
  "raw_formation_energy_kcal_per_mol_atoms": -53.4
}

=====

{
  "formula": "Sr2Si3GePt4",
  "functional": "PBE",
  "state": "relaxed",
  "lattice_angstrom": [[4.3576, 0.0000, 0.0000], [0.0000, 4.3576, 0.0000], [0.0000, 0.0000, 10.0325]],
  "species": ["Sr", "Sr", "Si", "Si", "Si", "Ge", "Pt", "Pt", "Pt", "Pt"],
  "fractional_positions": [[0.5000, 0.0000, 0.2533], [0.0000, 0.5000, 0.7467], [0.0000, 0.0000, 0.5000], [0.5000, 0.0000, 0.8773], [0.0000, 0.5000, 0.1227], [0.5000, 0.5000, 0.5000], [0.5000, 0.5000, 0.0000], [0.0000, 0.0000, 0.0000], [0.5000, 0.0000, 0.6298], [0.0000, 0.5000, 0.3702]],
  "space_group": "P-4m2 (115)",
  "raw_formation_energy_kcal_per_mol_atoms": -20.6
}

=====

{
  "formula": "Ta2CrCo2",
  "functional": "PBE",
  "state": "relaxed",
  "lattice_angstrom": [[6.1285, 0.0000, 0.0000], [0.0000, 6.1285, 0.0000], [0.0000, 0.0000, 3.7497]],
  "species": ["Cr", "Cr", "Co", "Co", "Co", "Co", "Ta", "Ta", "Ta", "Ta"],
  "fractional_positions": [[0.0000, 0.0000, 0.0000], [0.5000, 0.5000, 0.0000], [0.3685, 0.8685, 0.0000], [0.8685, 0.6315, 0.0000], [0.6315, 0.1315, 0.0000], [0.1315, 0.3685, 0.0000], [0.1764, 0.6764, 0.5000], [0.6764, 0.8236, 0.5000], [0.8236, 0.3236, 0.5000], [0.3236, 0.1764, 0.5000]],
  "space_group": "P4/mbm (127)",
  "formation_enthalpy_0k_ev_per_fu": 0.1
}

=====

{
  "formula": "VGaTeI2",
  "functional": "PBE",
  "state": "relaxed",
  "lattice_angstrom": [[-3.9805, 3.0379, 2.3293], [0.9092, -2.5139, 4.8324], [3.7684, 3.9183, 1.3294]],
  "species": ["I", "I", "Te", "Ga", "V"],
  "fractional_positions": [[0.0000, 0.5000, 0.0000], [0.5000, 0.0000, 0.0000], [0.0000, 0.0000, 0.5000], [0.0000, 0.0000, 0.0000], [0.5000, 0.5000, 0.5000]],
  "space_group": "P4/mmm (123)",
  "raw_formation_energy_kcal_per_mol_atoms": 12.8,
  "polymorph_energy_mev_per_atom": 601
}

=====

{
  "formula": "CaSi2Au",
  "functional": "PBE",
  "state": "relaxed",
  "lattice_angstrom": [[4.6171, 0.0000, 0.0000], [0.0000, 4.6171, 0.0000], [2.3086, 2.3086, 8.8197]],
  "species": ["Ca", "Ca", "Au", "Au", "Si", "Si", "Si", "Si"],
  "fractional_positions": [[0.5000, 0.5000, 0.0000], [0.2500, 0.7500, 0.5000], [0.0000, 0.0000, 0.0000], [0.7500, 0.2500, 0.5000], [0.8110, 0.1250, 0.2500], [0.9390, 0.6250, 0.2500], [0.3750, 0.1890, 0.7500], [0.8750, 0.0610, 0.7500]],
  "space_group": "I-42d (122)",
  "raw_formation_energy_kcal_per_mol_atoms": -4.0
}

=====

{
  "formula": "TbTmTlNi",
  "functional": "PBE",
  "state": "relaxed",
  "lattice_angstrom": [[-1.2120, 0.0237, 4.9437], [3.2060, -1.9906, 3.4160], [2.5024, 3.0469, 3.2194]],
  "species": ["Ni", "Tl", "Tm", "Tb"],
  "fractional_positions": [[0.2500, 0.2500, 0.2500], [0.7500, 0.7500, 0.7500], [0.5000, 0.5000, 0.5000], [0.0000, 0.0000, 0.0000]],
  "space_group": "F-43m (216)",
  "formation_enthalpy_0k_ev_per_fu": -1.0
}

=====

Number 1: mass density 7.302 g/cm³. Number 2: mass density 17.545 g/cm³. Number 3: mass density 5.483 g/cm³. Number 4: mass density 6.666 g/cm³. Number 5: mass density 5.116 g/cm³. Number 6: mass density 7.670 g/cm³. Number 7: mass density 8.140 g/cm³. Number 8: mass density 9.961 g/cm³. Number 9: mass density 8.463 g/cm³. Number 10: mass density 5.332 g/cm³. Number 11: mass density 3.244 g/cm³. Number 12: mass density 16.692 g/cm³. Number 13: mass density 11.562 g/cm³. Number 14: mass density 10.290 g/cm³. Number 15: mass density 8.529 g/cm³. Number 16: mass density 5.301 g/cm³. Number 17: mass density 11.436 g/cm³. Number 18: mass density 10.314 g/cm³. Number 19: mass density 8.173 g/cm³. Number 20: mass density 4.710 g/cm³. Number 21: mass density 9.697 g/cm³. Number 22: mass density 12.540 g/cm³. Number 23: mass density 4.884 g/cm³. Number 24: mass density 5.179 g/cm³. Number 25: mass density 10.522 g/cm³.